No. 1
LaEr2Be: relaxed, GGA-PBE.

## Properties
Offset from the most stable computed form = 0.000 eV/atom
N(E_F) = 4.17 states/eV per cell
M_tot = 0.00 μB per cell
DFT formation energy = 0.07 eV per atom

Unit cell a=3.4424 b=3.4424 c=8.9208 alpha=90.00 beta=90.00 gamma=90.00
Closest atoms and distances in Å follow each position.
Space group P4/mmm (No. 123)
Asymmetric unit:
La 0.0000 0.0000 0.0000 [1 per cell]  4 La 3.44, 8 Er 3.73
Er 0.5000 0.5000 0.3175 [2 per cell]  4 Be 2.93, 1 Er 3.26
Be 0.0000 0.0000 0.5000 [1 per cell]  8 Er 2.93

***

No. 2
MnSe2Br: relaxed, GGA-PBE.

## Properties
Offset from the most stable computed form = 0.508 eV/atom
N(E_F) = 3.49 states/eV per cell
M_tot = 3.73 μB per cell
Formation energy (no corrections) = 0.147 eV per atom

Unit cell a=3.0818 b=3.0818 c=10.8378 alpha=90.00 beta=90.00 gamma=90.00
Closest atoms and distances in Å follow each position.
Space group P4mm (No. 99)
Asymmetric unit:
Mn 0.0000 0.0000 0.0000 [1 per cell]  4 Se 2.63, 4 Br 2.86
Se 0.0000 0.0000 0.4567 [1 per cell]  4 Se 3.08
Se 0.5000 0.5000 0.1359 [1 per cell]  4 Mn 2.63
Br 0.5000 0.5000 0.8293 [1 per cell]  4 Mn 2.86, 4 Br 3.08

***

No. 3
SrNi3Ru: relaxed, GGA-PBE.

## Properties
Offset from the most stable computed form = 0.000 eV/atom
N(E_F) = 10.53 states/eV per cell
M_tot = 1.04 μB per cell
DFT formation energy = 0.58 eV per atom

Unit cell a=4.6074 b=4.6074 c=4.6074 alpha=90.00 beta=90.00 gamma=90.00
Closest atoms and distances in Å follow each position.
Space group Pm-3m (No. 221)
Asymmetric unit:
Sr 0.0000 0.0000 0.0000 [1 per cell]  12 Ni 3.26
Ni 0.0000 0.5000 0.5000 [3 per cell]  2 Ru 2.30
Ru 0.5000 0.5000 0.5000 [1 per cell]  6 Ni 2.30

***

No. 4
SrNi2Os: relaxed, GGA-PBE.

## Properties
Offset from the most stable computed form = 0.647 eV/atom
N(E_F) = 21.91 states/eV per cell
M_tot = 8.95 μB per cell
DFT formation energy = 0.74 eV per atom

Unit cell a=6.4413 b=6.4413 c=6.4413 alpha=90.00 beta=90.00 gamma=90.00
Closest atoms and distances in Å follow each position.
Space group Fm-3m (No. 225)
Asymmetric unit:
Sr 0.0000 0.0000 0.0000 [4 per cell]  8 Ni 2.79
Ni 0.2500 0.2500 0.2500 [8 per cell]  4 Os 2.79, 4 Sr 2.79
Os 0.0000 0.0000 0.5000 [4 per cell]  8 Ni 2.79

***

No. 5
In2Hg2As: relaxed, GGA-PBE.

## Properties
Offset from the most stable computed form = 0.041 eV/atom
N(E_F) = 3.95 states/eV per cell
M_tot = 0.00 μB per cell
DFT formation energy = 0.14 eV per atom

Unit cell a=7.4064 b=7.4064 c=4.8518 alpha=90.00 beta=90.00 gamma=90.00
Closest atoms and distances in Å follow each position.
Space group P4/mbm (No. 127)
Asymmetric unit:
In 0.1727 0.3273 0.0000 [4 per cell]  6 Hg 3.12-3.36
Hg 0.1402 0.6402 0.5000 [4 per cell]  2 As 2.86, 1 Hg 2.94, 2 In 3.12
As 0.0000 0.0000 0.5000 [2 per cell]  4 Hg 2.86

***

No. 6
La2Zn4SnAu3: relaxed, GGA-PBE.

## Properties
N(E_F) = 6.52 states/eV per cell
M_tot = 0.00 μB per cell
DFT formation energy = -0.54 eV per atom

Unit cell a=4.3695 b=4.3695 c=11.3424 alpha=90.00 beta=90.00 gamma=90.00
Closest atoms and distances in Å follow each position.
Space group P-4m2 (No. 115)
Asymmetric unit:
La 0.0000 0.5000 0.2442 [2 per cell]  6 Au 3.34-3.63, 8 Zn 3.35-3.53, 2 Sn 3.63
Zn 0.0000 0.0000 0.0000 [1 per cell]  4 Au 2.66
Zn 0.0000 0.5000 0.6423 [2 per cell]  3 Au 2.55-2.72, 2 Sn 2.72
Zn 0.5000 0.5000 0.0000 [1 per cell]  4 Au 2.66
Sn 0.0000 0.0000 0.5000 [1 per cell]  4 Zn 2.72
Au 0.0000 0.5000 0.8667 [2 per cell]  5 Zn 2.55-2.66
Au 0.5000 0.5000 0.5000 [1 per cell]  4 Zn 2.72

***

No. 7
CeErTmTh: relaxed, GGA-PBE.

## Properties
Offset from the most stable computed form = 0.000 eV/atom
N(E_F) = 24.20 states/eV per cell
M_tot = 0.16 μB per cell
DFT formation energy = 0.02 eV per atom

Unit cell a=3.5264 b=3.5264 c=33.8578 alpha=90.00 beta=90.00 gamma=120.00
Closest atoms and distances in Å follow each position.
Space group R3m (No. 160, hexagonal axes)
Asymmetric unit:
Ce 0.0000 0.0000 0.0000 [3 per cell]  3 Th 3.44, 3 Tm 3.49, 6 Ce 3.53
Er 0.0000 0.0000 0.8329 [3 per cell]  3 Tm 3.48, 3 Th 3.50, 6 Er 3.53
Tm 0.0000 0.0000 0.5830 [3 per cell]  3 Er 3.48, 3 Ce 3.49, 6 Tm 3.53
Th 0.0000 0.0000 0.4153 [3 per cell]  3 Ce 3.44, 3 Er 3.50, 6 Th 3.53

***

No. 8
Pm8Sm5Mg: relaxed, GGA-PBE.

## Properties
N(E_F) = 39.15 states/eV per cell
M_tot = 0.00 μB per cell
DFT formation energy = 0.23 eV per atom

Unit cell a=9.8108 b=9.8108 c=10.0935 alpha=90.00 beta=90.00 gamma=90.00
Closest atoms and distances in Å follow each position.
Space group I-4 (No. 82)
Asymmetric unit:
Pm 0.0677 0.3298 0.4118 [8 per cell]  5 Sm 3.42-3.68, 4 Pm 3.59-3.80
Pm 0.0864 0.1860 0.7465 [8 per cell]  1 Mg 3.20, 4 Sm 3.20-3.53
Sm 0.0000 0.0000 0.5000 [2 per cell]  8 Pm 3.20-3.42
Sm 0.1016 0.2076 0.0795 [8 per cell]  8 Pm 3.37-3.68, 2 Sm 3.59
Mg 0.0000 0.5000 0.7500 [2 per cell]  4 Pm 3.20

***

Please write out number 5 again, unchanged.
In2Hg2As: relaxed, GGA-PBE.

## Properties
Offset from the most stable computed form = 0.041 eV/atom
N(E_F) = 3.95 states/eV per cell
M_tot = 0.00 μB per cell
DFT formation energy = 0.14 eV per atom

Unit cell a=7.4064 b=7.4064 c=4.8518 alpha=90.00 beta=90.00 gamma=90.00
Closest atoms and distances in Å follow each position.
Space group P4/mbm (No. 127)
Asymmetric unit:
In 0.1727 0.3273 0.0000 [4 per cell]  6 Hg 3.12-3.36
Hg 0.1402 0.6402 0.5000 [4 per cell]  2 As 2.86, 1 Hg 2.94, 2 In 3.12
As 0.0000 0.0000 0.5000 [2 per cell]  4 Hg 2.86

***

What is the formula in the seventh record? CeErTmTh